No. 1
Entry from Alexandria: a relaxed BC crystal (PBE).

Structure (POSCAR):
```
BC
1.0
-2.178 1.062 3.786
-1.015 -1.067 4.247
7.529 3.775 -1.575
B C
6 6
direct
0.671 0.671 0.352
0.467 0.467 0.377
0.188 0.188 0.208
0.989 0.989 0.977
0.678 0.678 0.850
0.165 0.165 0.691
0.344 0.344 0.151
0.850 0.850 0.058
0.495 0.495 0.859
0.340 0.340 0.664
0.982 0.982 0.504
0.831 0.831 0.558
```

## Properties
E_form = 0.404 eV/atom
Spin magnetization = 0.0 μB per formula unit
E = -90.6 eV for the cell shown
DOS(E_F) = 1.347 states/eV/cell

=====

No. 2
Entry from Alexandria: a relaxed B7C5 crystal (PBE).

Structure (POSCAR):
```
B7C5
1.0
-1.744 -0.777 -1.784
0.984 -3.754 0.672
-5.888 -0.106 5.804
B C
7 5
direct
0.500 0.569 0.156
0.000 0.278 0.200
0.000 0.969 0.962
0.500 0.528 0.505
0.000 0.216 0.520
0.000 0.936 0.314
0.500 0.515 0.831
0.500 0.772 0.996
0.500 0.739 0.348
0.000 0.240 0.824
0.000 0.981 0.676
0.500 0.757 0.669
```

## Properties
E_form = 0.473 eV/atom
Spin magnetization = 0.0 μB per formula unit
E = -87.2 eV for the cell shown
DOS(E_F) = 2.465 states/eV/cell

=====

No. 3
Entry from Alexandria: a relaxed BC crystal (PBE).

Structure (POSCAR):
```
BC
1.0
0.728 0.158 -4.472
-1.474 -1.252 -4.100
-3.133 5.536 2.441
B C
5 5
direct
0.029 0.029 0.028
0.400 0.400 0.831
0.352 0.352 0.545
0.595 0.595 0.768
0.594 0.594 0.328
0.223 0.223 0.069
0.202 0.202 0.818
0.797 0.797 0.420
0.811 0.811 0.194
0.998 0.998 0.249
```

## Properties
E_form = 0.374 eV/atom
Spin magnetization = 0.0 μB per formula unit
E = -75.8 eV for the cell shown
DOS(E_F) = 0.573 states/eV/cell

=====

No. 4
Entry from Alexandria: a relaxed B3C2 crystal (PBE).

Structure (POSCAR):
```
B3C2
1.0
-2.799 -1.379 2.064
2.776 -3.492 1.431
1.617 3.009 4.204
C B
4 6
direct
0.189 0.000 0.754
0.811 0.000 0.754
0.189 0.500 0.254
0.811 0.500 0.254
0.500 0.198 0.668
0.500 0.802 0.668
0.500 0.698 0.168
0.500 0.302 0.168
0.500 0.000 0.982
0.500 0.500 0.482
```

## Properties
E_form = 0.482 eV/atom
Spin magnetization = 0.0 μB per formula unit
E = -72.1 eV for the cell shown
DOS(E_F) = 2.309 states/eV/cell

=====

No. 5
Entry from Alexandria: a relaxed B7C5 crystal (PBE).

Structure (POSCAR):
```
B7C5
1.0
2.724 0.000 0.000
-1.362 2.359 0.000
0.000 0.000 16.072
B C
7 5
direct
0.667 0.333 0.808
0.000 0.000 0.835
0.667 0.333 0.700
0.000 0.000 0.319
0.000 0.000 0.551
0.333 0.667 0.170
0.000 0.000 0.058
0.333 0.667 0.660
0.667 0.333 0.308
0.333 0.667 0.562
0.667 0.333 0.211
0.333 0.667 0.067
```

## Properties
E_form = 0.448 eV/atom
Spin magnetization = 0.0 μB per formula unit
E = -87.5 eV for the cell shown
DOS(E_F) = 2.326 states/eV/cell

=====

No. 6
Entry from Alexandria: a relaxed BC crystal (PBE).

Structure (POSCAR):
```
BC
1.0
-4.225 1.251 1.120
-3.421 -1.926 2.150
2.492 2.125 4.351
B C
6 6
direct
0.176 0.743 0.239
0.314 0.254 0.145
0.637 0.062 0.427
0.613 0.688 0.323
0.936 0.496 0.605
0.074 0.007 0.511
0.974 0.987 0.985
0.276 0.763 0.765
0.368 0.357 0.683
0.586 0.078 0.902
0.664 0.672 0.848
0.882 0.393 0.067
```

## Properties
E_form = 0.377 eV/atom
Spin magnetization = 0.0 μB per formula unit
E = -90.9 eV for the cell shown
DOS(E_F) = 1.202 states/eV/cell

=====

No. 7
Entry from Alexandria: a relaxed BC crystal (PBE).

Structure (POSCAR):
```
BC
1.0
2.600 0.000 0.000
0.000 4.741 0.015
0.000 0.026 6.759
B C
6 6
direct
0.500 0.534 0.252
0.500 0.590 0.999
0.500 0.125 0.887
0.000 0.334 0.628
0.000 0.302 0.288
0.000 0.975 0.030
0.500 0.839 0.354
0.000 0.679 0.661
0.000 0.979 0.271
0.000 0.655 0.887
0.500 0.156 0.659
0.500 0.832 0.584
```

## Properties
E_form = 0.415 eV/atom
Spin magnetization = 0.0 μB per formula unit
E = -90.4 eV for the cell shown
DOS(E_F) = 0.543 states/eV/cell

=====

No. 8
Entry from Alexandria: a relaxed BC crystal (PBE).

Structure (POSCAR):
```
BC
1.0
-4.034 -1.740 0.577
1.898 0.027 -4.004
2.476 -3.575 1.828
B C
6 6
direct
0.121 0.742 0.161
0.500 0.500 0.507
0.285 0.285 0.136
0.399 0.647 0.963
0.742 0.121 0.161
0.647 0.399 0.963
0.182 0.845 0.520
0.200 0.545 0.624
0.845 0.182 0.520
0.545 0.200 0.624
0.908 0.908 0.958
0.875 0.875 0.613
```

## Properties
E_form = 0.396 eV/atom
Spin magnetization = 0.0 μB per formula unit
E = -90.7 eV for the cell shown
DOS(E_F) = 1.522 states/eV/cell

=====

No. 9
Entry from Alexandria: a relaxed B3C crystal (PBE).

Structure (POSCAR):
```
B3C
1.0
-3.550 0.719 2.897
1.791 -4.256 -0.434
2.362 -0.063 3.882
B C
9 3
direct
0.111 0.472 0.544
0.395 0.617 0.150
0.472 0.111 0.544
0.617 0.395 0.150
0.278 0.278 0.928
0.493 0.493 0.524
0.879 0.879 0.167
0.689 0.086 0.985
0.086 0.689 0.985
0.836 0.836 0.526
0.783 0.111 0.624
0.111 0.783 0.624
```

## Properties
E_form = 0.318 eV/atom
Spin magnetization = 0.0 μB per formula unit
E = -84.0 eV for the cell shown
DOS(E_F) = 0.860 states/eV/cell

=====

No. 10
Entry from Alexandria: a relaxed BC crystal (PBE).

Structure (POSCAR):
```
BC
1.0
-1.135 -2.060 1.157
2.415 0.735 0.707
-5.285 8.238 9.486
B C
6 6
direct
0.667 0.333 0.848
0.333 0.667 0.660
0.667 0.333 0.722
0.667 0.333 0.313
0.000 0.000 0.386
0.333 0.667 0.517
0.000 0.000 0.895
0.000 0.000 0.502
0.333 0.667 0.158
0.667 0.333 0.197
0.000 0.000 0.006
0.333 0.667 0.045
```

## Properties
E_form = 0.481 eV/atom
Spin magnetization = 0.0 μB per formula unit
E = -89.6 eV for the cell shown
DOS(E_F) = 2.493 states/eV/cell

=====

No. 11
Entry from Alexandria: a relaxed B7C5 crystal (PBE).

Structure (POSCAR):
```
B7C5
1.0
4.880 0.093 -0.545
-2.625 3.689 -0.874
0.206 -0.024 4.484
B C
7 5
direct
0.250 0.881 0.630
0.958 0.672 0.923
0.570 0.504 0.518
0.295 0.386 0.173
0.322 0.688 0.936
0.859 0.165 0.508
0.576 0.256 0.049
0.244 0.519 0.540
0.691 0.019 0.141
0.617 0.260 0.688
0.951 0.020 0.002
0.920 0.881 0.642
```

## Properties
E_form = 0.409 eV/atom
Spin magnetization = 0.0 μB per formula unit
E = -88.0 eV for the cell shown
DOS(E_F) = 1.896 states/eV/cell

=====

No. 12
Entry from Alexandria: a relaxed B7C5 crystal (PBE).

Structure (POSCAR):
```
B7C5
1.0
4.655 0.088 -6.025
0.224 2.720 -6.845
-0.401 -0.061 7.358
B C
7 5
direct
0.111 0.356 0.756
0.770 0.268 0.502
0.482 0.161 0.322
0.638 0.963 0.675
0.390 0.849 0.541
0.025 0.784 0.240
0.978 0.656 0.321
0.105 0.115 0.989
0.013 0.007 0.006
0.596 0.611 0.985
0.496 0.510 0.986
0.146 0.470 0.676
```

## Properties
E_form = 0.493 eV/atom
Spin magnetization = 0.0 μB per formula unit
E = -86.9 eV for the cell shown
DOS(E_F) = 1.940 states/eV/cell